DFT (PBE-GGA) results for a relaxed structure of Pm2HgRh2.

Calculated values
- M_tot (μB/atom) = 0.000
- ΔE_f (eV per formula unit) = -3.24

abc: 7.6667 7.6667 3.8086
angles: 90.00 90.00 90.00
Last column: nearest neighbours and their distance in Å.
Space group P4/mbm (No. 127)
One atom of each set of equivalent atoms:
Pm1 0.1677 0.3323 0.0000  6 Rh 2.87-3.01
Hg1 0.0000 0.0000 0.5000  4 Rh 2.99
Rh1 0.1338 0.6338 0.5000  6 Pm 2.87-3.01, 1 Rh 2.90, 2 Hg 2.99